Record 1
Here is a relaxed structure of CsK2ZnBr5 from Alexandria via LeMat-Bulk. Energies are from GGA-PBE.

Properties
ΔE_f (raw) (meV/atom): -1494
DOS at the Fermi energy (states/eV/atom): 0.000
V (Å³/atom): 36.15

a b c (Å): 9.987 9.987 9.987
angles (deg): 124.46 124.46 82.43
Fractional positions:
Cs1 0.250 0.250 0.000
Cs2 0.750 0.750 0.000
K1 0.163 0.663 0.827
K2 0.337 0.163 0.500
K3 0.663 0.837 0.500
K4 0.837 0.337 0.173
Zn1 0.250 0.750 0.500
Zn2 0.750 0.250 0.500
Br1 0.000 0.000 0.000
Br2 0.004 0.790 0.500
Br3 0.210 0.710 0.214
Br4 0.290 0.504 0.500
Br5 0.496 0.996 0.786
Br6 0.500 0.500 0.000
Br7 0.504 0.004 0.214
Br8 0.710 0.496 0.500
Br9 0.790 0.290 0.786
Br10 0.996 0.210 0.500



Record 2
Here is a relaxed structure of In2Ga2Pt from Alexandria via LeMat-Bulk. Energies are from GGA-PBE.

Properties
Energy relative to the elements (eV per atom): 0.04
DOS at the Fermi energy (states/eV/atom): 0.381
Energy relative to the lowest polymorph listed for this composition (kJ per mole of atoms): 18.2
V (Å³/atom): 22.24

a b c (Å): 7.118 7.118 4.390
angles (deg): 90.00 90.00 90.00
Fractional positions:
In1 0.153 0.347 0.000
In2 0.347 0.847 0.000
In3 0.653 0.153 0.000
In4 0.847 0.653 0.000
Ga1 0.160 0.660 0.500
Ga2 0.340 0.160 0.500
Ga3 0.660 0.840 0.500
Ga4 0.840 0.340 0.500
Pt1 0.000 0.000 0.000
Pt2 0.500 0.500 0.000



Record 3
Here is a relaxed structure of K4Tl4Pb from Alexandria via LeMat-Bulk. Energies are from GGA-PBE.

Properties
Energy relative to the elements (eV per atom): 0.03
DOS at the Fermi energy (states/eV/atom): 0.619
V (Å³/atom): 41.22

a b c (Å): 9.304 9.304 9.304
angles (deg): 136.93 136.93 62.55
Fractional positions:
K1 0.203 0.203 0.616
K2 0.413 0.797 0.000
K3 0.587 0.587 0.384
K4 0.797 0.413 0.000
Tl1 0.001 0.639 0.000
Tl2 0.361 0.361 0.362
Tl3 0.639 0.001 0.000
Tl4 0.999 0.999 0.638
Pb1 0.000 0.000 0.000



Record 4
Here is a relaxed structure of Cs3Sc3NbSe8 from Alexandria via LeMat-Bulk. Energies are from GGA-PBE.

Properties
ΔE_f (raw) (meV/atom): -1404
DOS at the Fermi energy (states/eV/atom): 0.283
V (Å³/atom): 30.42

a b c (Å): 9.633 9.633 9.633
angles (deg): 48.27 48.27 48.27
Fractional positions:
Cs1 0.000 0.500 0.500
Cs2 0.500 0.000 0.500
Cs3 0.500 0.500 0.000
Sc1 0.000 0.000 0.500
Sc2 0.000 0.500 0.000
Sc3 0.500 0.000 0.000
Nb1 0.500 0.500 0.500
Se1 0.226 0.226 0.226
Se2 0.232 0.722 0.722
Se3 0.278 0.278 0.768
Se4 0.278 0.768 0.278
Se5 0.722 0.232 0.722
Se6 0.722 0.722 0.232
Se7 0.768 0.278 0.278
Se8 0.774 0.774 0.774